No. 1
An optimized crystal structure of NaDyCo. Source: Alexandria, functional PBE.

CIF file:
```
data_NaDyCo
_space_group_name_H-M_alt 'P 1'
_space_group_IT_number 1
_cell_length_a 3.9067
_cell_length_b 3.9067
_cell_length_c 12.7050
_cell_angle_alpha 89.98
_cell_angle_beta 89.99
_cell_angle_gamma 60.00
loop_
_space_group_symop_operation_xyz
'x,y,z'
loop_
_atom_site_label
_atom_site_fract_x
_atom_site_fract_y
_atom_site_fract_z
Na1 0.0000 0.0000 0.0000
Na2 0.3335 0.3345 0.2403
Dy1 0.6638 0.6694 0.4825
Dy2 0.6637 0.6691 0.7584
Co1 0.3303 0.3360 0.6202
Co2 0.9969 0.0028 0.6207
```

Values from the calculation:
DOS at the Fermi energy, states/eV per cell: 6.0
Formation energy, eV/f.u.: -0.36
Crystal system: triclinic
Uncorrected energy, Ry/atom: -0.3279

No. 2
An optimized crystal structure of RbHfSc. Source: Alexandria, functional PBE.

CIF file:
```
data_RbHfSc
_space_group_name_H-M_alt 'P n m a'
_space_group_IT_number 62
_cell_length_a 12.2922
_cell_length_b 3.2600
_cell_length_c 10.5195
_cell_angle_alpha 90.00
_cell_angle_beta 90.00
_cell_angle_gamma 90.00
loop_
_space_group_symop_operation_xyz
'x,y,z'
'-x,-y,-z'
'-x+1/2,-y,z+1/2'
'x+1/2,y,-z+1/2'
'x+1/2,-y+1/2,-z+1/2'
'-x+1/2,y+1/2,z+1/2'
'-x,y+1/2,-z'
'x,-y+1/2,z'
loop_
_atom_site_label
_atom_site_fract_x
_atom_site_fract_y
_atom_site_fract_z
Rb1 0.1466 0.2500 0.0665
Hf1 0.0755 0.2500 0.4220
Sc1 0.0992 0.2500 0.7073
```

Values from the calculation:
DOS at the Fermi energy, states/eV per cell: 22.1
Formation energy, eV/f.u.: 2.11
Relative energy among the computed polymorphs, eV per formula unit: 0.99
Crystal system: orthorhombic
Uncorrected energy, Ry/atom: -0.3709